VASP calculation (PBE-GGA) on KNb2Pb2O7 after structural relaxation.

Theoretical density ... 5.89 g cm⁻³
DFT total energy ... -86.7 eV per formula unit
Uncorrected formation energy ... -23.30 eV per formula unit
Space-group type ... Imm2, No. 44

abc: 3.7595 5.1422 11.4065
angles: 103.03 99.49 90.00
With the nearest neighbours (Å) after each atom.
Fractional positions:
Pb  0.2976  0.8442  0.5952  2 O 2.27-2.39
Pb  0.7024  0.2491  0.4048  2 O 2.27-2.39
Nb  0.5912  0.6549  0.1824  5 O 1.86-2.01
Nb  0.4088  0.4725  0.8176  5 O 1.86-2.01
O  0.4031  0.8280  0.8062  1 Nb 1.86
O  0.5000  0.5128  0.0000  2 Nb 2.01
O  0.6786  0.6540  0.3573  1 Nb 1.97
O  0.0876  0.5349  0.1753  2 Nb 1.97
O  0.5969  0.0218  0.1938  1 Nb 1.86
O  0.9124  0.3596  0.8247  2 Nb 1.97
O  0.3214  0.2967  0.6427  1 Nb 1.97
K  0.0000  0.0711  0.0000  8 O 2.73-2.95